# 1
First-principles (PBE) data for crystalline CaYP2O at its relaxed geometry, as listed in Alexandria.

Its energy above the lowest structure with this stoichiometry is 448 meV/atom. The calculation puts the formation energy from raw total energies at -330 meV per atom.

It has space group P4/mmm (No. 123), with a = 5.1280 Å, b = 5.1280 Å, c = 4.2082 Å, α = 90.00°, β = 90.00° and γ = 90.00°. The asymmetric unit holds Ca at (0.0000, 0.0000, 0.0000), Y at (0.5000, 0.5000, 0.5000), P at (0.0000, 0.5000, 0.0000) and O at (0.0000, 0.0000, 0.5000).



# 2
First-principles (PBE) data for crystalline Ir4OsRh5 at its relaxed geometry, as listed in Alexandria.

The energy of formation comes out at 0.01 eV per atom. Its energy above the lowest structure with this stoichiometry is 0 meV/atom.

It has space group P4/mmm (No. 123), with a = 2.7206 Å, b = 2.7206 Å, c = 19.3350 Å, α = 90.00°, β = 90.00° and γ = 90.00°. The asymmetric unit holds Ir at (0.0000, 0.0000, 0.1001), Ir at (0.0000, 0.0000, 0.2991), Os at (0.0000, 0.0000, 0.5000), Rh at (0.5000, 0.5000, 0.0000), Rh at (0.5000, 0.5000, 0.1999) and Rh at (0.5000, 0.5000, 0.4017).